Entry 1:
# BaRe2PdPb PBE relaxed
data_BaRe2PdPb
_chemical_formula_sum 'Ba1 Re2 Pd1 Pb1'
_space_group_name_H-M_alt 'P 4/m m m'
_space_group_IT_number 123
_space_group_name_Hall '-P 4 2'
_cell_length_a 5.215
_cell_length_b 5.215
_cell_length_c 5.204
_cell_angle_alpha 90.00
_cell_angle_beta 90.00
_cell_angle_gamma 90.00
loop_
_atom_site_label
_atom_site_type_symbol
_atom_site_fract_x
_atom_site_fract_y
_atom_site_fract_z
_atom_site_occupancy
Ba1 Ba 0.000 0.000 0.000 1
Re1 Re 0.000 0.500 0.500 1
Pd1 Pd 0.500 0.500 0.000 1
Pb1 Pb 0.500 0.500 0.500 1
# DFT formation energy in eV per atom: 1.726
# Magnetization in μB/f.u.: 4.3



Entry 2:
# TaMo2Cl PBE relaxed
data_TaMo2Cl
_chemical_formula_sum 'Ta4 Mo8 Cl4'
_space_group_name_H-M_alt 'F m -3 m'
_space_group_IT_number 225
_space_group_name_Hall '-F 4 2 3'
_cell_length_a 6.424
_cell_length_b 6.424
_cell_length_c 6.424
_cell_angle_alpha 90.00
_cell_angle_beta 90.00
_cell_angle_gamma 90.00
loop_
_atom_site_label
_atom_site_type_symbol
_atom_site_fract_x
_atom_site_fract_y
_atom_site_fract_z
_atom_site_occupancy
Ta1 Ta 0.000 0.000 0.000 1
Mo1 Mo 0.250 0.250 0.250 1
Cl1 Cl 0.000 0.000 0.500 1
# Energy above the lowest structure with this stoichiometry in meV/atom: 727
# Magnetization in μB/f.u.: 0.0
# Uncorrected formation energy in eV per atom: 0.90



Entry 3:
# CeTmOsPb PBE relaxed
data_CeTmOsPb
_chemical_formula_sum 'Ce1 Tm1 Os1 Pb1'
_space_group_name_H-M_alt 'P 4 m m'
_space_group_IT_number 99
_cell_length_a 3.374
_cell_length_b 3.374
_cell_length_c 8.478
_cell_angle_alpha 90.00
_cell_angle_beta 90.00
_cell_angle_gamma 90.00
loop_
_space_group_symop_operation_xyz
'x,y,z'
'-y,x,z'
'-x,-y,z'
'y,-x,z'
'-x,y,z'
'y,x,z'
'x,-y,z'
'-y,-x,z'
loop_
_atom_site_label
_atom_site_type_symbol
_atom_site_fract_x
_atom_site_fract_y
_atom_site_fract_z
_atom_site_occupancy
Ce1 Ce 0.000 0.000 0.000 1
Tm1 Tm 0.000 0.000 0.594 1
Os1 Os 0.500 0.500 0.791 1
Pb1 Pb 0.500 0.500 0.306 1
# DFT formation energy in eV per atom: -0.373
# Magnetization in μB/f.u.: 0.4



Entry 4:
# Rb4Dy3YTe8 PBE relaxed
data_Rb4Dy3YTe8
_chemical_formula_sum 'Rb12 Dy9 Y3 Te24'
_space_group_name_H-M_alt 'R -3 m'
_space_group_IT_number 166
_space_group_name_Hall '-R 3 2"'
_cell_length_a 9.0525
_cell_length_b 9.0525
_cell_length_c 25.6577
_cell_angle_alpha 90.00
_cell_angle_beta 90.00
_cell_angle_gamma 120.00
loop_
_atom_site_label
_atom_site_type_symbol
_atom_site_fract_x
_atom_site_fract_y
_atom_site_fract_z
_atom_site_occupancy
Rb1 Rb 0.0000 0.0000 0.0000 1
Rb2 Rb 0.0000 0.5000 0.0000 1
Dy1 Dy 0.0000 0.5000 0.5000 1
Y1 Y 0.0000 0.0000 0.5000 1
Te1 Te 0.0000 0.0000 0.2330 1
Te2 Te 0.9997 0.4998 0.2331 1
# Magnetization in μB/f.u.: 0.0
# Uncorrected formation energy in eV per atom: -1.39



Entry 5:
# Ac2Pm2Ru PBE relaxed
data_Ac2Pm2Ru
_chemical_formula_sum 'Ac8 Pm8 Ru4'
_space_group_name_H-M_alt 'I 41/a m d'
_space_group_IT_number 141
_cell_length_a 5.112
_cell_length_b 5.112
_cell_length_c 26.181
_cell_angle_alpha 90.00
_cell_angle_beta 90.00
_cell_angle_gamma 90.00
loop_
_space_group_symop_operation_xyz
'x,y,z'
'-x,-y,-z'
'-y+1/4,x+3/4,z+1/4'
'y+1/4,-x+3/4,-z+1/4'
'-x+1/2,-y,z+1/2'
'x+1/2,y,-z+1/2'
'y+1/4,-x+1/4,z+3/4'
'-y+1/4,x+1/4,-z+3/4'
'x,-y,-z'
'-x,y,z'
'-y+1/4,-x+1/4,-z+3/4'
'y+1/4,x+1/4,z+3/4'
'-x+1/2,y,-z+1/2'
'x+1/2,-y,z+1/2'
'y+1/4,x+3/4,-z+1/4'
'-y+1/4,-x+3/4,z+1/4'
'x+1/2,y+1/2,z+1/2'
'-x+1/2,-y+1/2,-z+1/2'
'-y+3/4,x+1/4,z+3/4'
'y+3/4,-x+1/4,-z+3/4'
'-x,-y+1/2,z'
'x,y+1/2,-z'
'y+3/4,-x+3/4,z+1/4'
'-y+3/4,x+3/4,-z+1/4'
'x+1/2,-y+1/2,-z+1/2'
'-x+1/2,y+1/2,z+1/2'
'-y+3/4,-x+3/4,-z+1/4'
'y+3/4,x+3/4,z+1/4'
'-x,y+1/2,-z'
'x,-y+1/2,z'
'y+3/4,x+1/4,-z+3/4'
'-y+3/4,-x+1/4,z+3/4'
loop_
_atom_site_label
_atom_site_type_symbol
_atom_site_fract_x
_atom_site_fract_y
_atom_site_fract_z
_atom_site_occupancy
Ac1 Ac 0.000 0.250 0.061 1
Pm1 Pm 0.000 0.250 0.194 1
Ru1 Ru 0.000 0.250 0.375 1
# DFT formation energy in eV per atom: 0.021
# Magnetization in μB/f.u.: 0.0



Entry 6:
# Ca2YCu9 PBE relaxed
data_Ca2YCu9
_chemical_formula_sum 'Ca6 Y3 Cu27'
_space_group_name_H-M_alt 'R -3 m'
_space_group_IT_number 166
_space_group_name_Hall '-R 3 2"'
_cell_length_a 5.1629
_cell_length_b 5.1629
_cell_length_c 25.3012
_cell_angle_alpha 90.00
_cell_angle_beta 90.00
_cell_angle_gamma 120.00
loop_
_atom_site_label
_atom_site_type_symbol
_atom_site_fract_x
_atom_site_fract_y
_atom_site_fract_z
_atom_site_occupancy
Ca1 Ca 0.0000 0.0000 0.1414 1
Y1 Y 0.0000 0.0000 0.0000 1
Cu1 Cu 0.0000 0.0000 0.3320 1
Cu2 Cu 0.0000 0.0000 0.5000 1
Cu3 Cu 0.0028 0.5014 0.0803 1
# DFT formation energy in eV per atom: -0.146
# Magnetization in μB/f.u.: 0.0



Entry 7:
# YTl2Pt PBE relaxed
data_YTl2Pt
_chemical_formula_sum 'Y4 Tl8 Pt4'
_space_group_name_H-M_alt 'I -4 2 d'
_space_group_IT_number 122
_space_group_name_Hall 'I -4 2bw'
_cell_length_a 8.341
_cell_length_b 8.341
_cell_length_c 5.920
_cell_angle_alpha 90.00
_cell_angle_beta 90.00
_cell_angle_gamma 90.00
loop_
_atom_site_label
_atom_site_type_symbol
_atom_site_fract_x
_atom_site_fract_y
_atom_site_fract_z
_atom_site_occupancy
Y1 Y 0.000 0.000 0.000 1
Tl1 Tl 0.204 0.250 0.625 1
Pt1 Pt 0.000 0.000 0.500 1
# DFT formation energy in eV per atom: -0.276
# Magnetization in μB/f.u.: 0.0



Entry 8:
# ZrSc2Ta PBE relaxed
data_ZrSc2Ta
_chemical_formula_sum 'Zr1 Sc2 Ta1'
_space_group_name_H-M_alt 'P 1 2/m 1'
_space_group_IT_number 10
_cell_length_a 3.076
_cell_length_b 4.550
_cell_length_c 6.215
_cell_angle_alpha 90.00
_cell_angle_beta 90.23
_cell_angle_gamma 90.00
loop_
_space_group_symop_operation_xyz
'x,y,z'
'-x,-y,-z'
'-x,y,-z'
'x,-y,z'
loop_
_atom_site_label
_atom_site_type_symbol
_atom_site_fract_x
_atom_site_fract_y
_atom_site_fract_z
_atom_site_occupancy
Zr1 Zr 0.000 0.000 0.000 1
Sc1 Sc 0.500 0.500 0.261 1
Ta1 Ta 0.000 0.000 0.500 1
# DFT formation energy in eV per atom: 0.144
# Magnetization in μB/f.u.: 0.0



Entry 9:
# ZnInF PBE relaxed
data_ZnInF
_chemical_formula_sum 'Zn4 In4 F4'
_space_group_name_H-M_alt 'A m m 2'
_space_group_IT_number 38
_cell_length_a 13.684
_cell_length_b 3.129
_cell_length_c 5.422
_cell_angle_alpha 90.00
_cell_angle_beta 90.00
_cell_angle_gamma 90.00
loop_
_space_group_symop_operation_xyz
'x,y,z'
'-x,-y,z'
'-x,y,z'
'x,-y,z'
'x,y+1/2,z+1/2'
'-x,-y+1/2,z+1/2'
'-x,y+1/2,z+1/2'
'x,-y+1/2,z+1/2'
loop_
_atom_site_label
_atom_site_type_symbol
_atom_site_fract_x
_atom_site_fract_y
_atom_site_fract_z
_atom_site_occupancy
Zn1 Zn 0.000 0.000 0.000 1
Zn2 Zn 0.500 0.000 0.219 1
In1 In 0.318 0.000 0.882 1
F1 F 0.088 0.000 0.333 1
# Magnetization in μB/f.u.: 0.0
# Uncorrected formation energy in eV per atom: -0.93



Entry 10:
# Tc2MoW PBE relaxed
data_Tc2MoW
_chemical_formula_sum 'Tc4 Mo2 W2'
_space_group_name_H-M_alt 'I 4/m m m'
_space_group_IT_number 139
_space_group_name_Hall '-I 4 2'
_cell_length_a 3.974
_cell_length_b 3.974
_cell_length_c 7.793
_cell_angle_alpha 90.00
_cell_angle_beta 90.00
_cell_angle_gamma 90.00
loop_
_atom_site_label
_atom_site_type_symbol
_atom_site_fract_x
_atom_site_fract_y
_atom_site_fract_z
_atom_site_occupancy
Tc1 Tc 0.000 0.500 0.250 1
Mo1 Mo 0.000 0.000 0.000 1
W1 W 0.000 0.000 0.500 1
# Energy above the lowest structure with this stoichiometry in meV/atom: 126
# DFT formation energy in eV per atom: 0.194
# Magnetization in μB/f.u.: 0.0



Entry 11:
# In2AgMo PBE relaxed
data_In2AgMo
_chemical_formula_sum 'In4 Ag2 Mo2'
_space_group_name_H-M_alt 'C m m m'
_space_group_IT_number 65
_space_group_name_Hall '-C 2 2'
_cell_length_a 3.536
_cell_length_b 4.811
_cell_length_c 9.212
_cell_angle_alpha 90.00
_cell_angle_beta 90.00
_cell_angle_gamma 90.00
loop_
_atom_site_label
_atom_site_type_symbol
_atom_site_fract_x
_atom_site_fract_y
_atom_site_fract_z
_atom_site_occupancy
In1 In 0.000 0.000 0.243 1
Ag1 Ag 0.000 0.500 0.500 1
Mo1 Mo 0.000 0.500 0.000 1
# Energy above the lowest structure with this stoichiometry in meV/atom: 59
# DFT formation energy in eV per atom: 0.310
# Magnetization in μB/f.u.: 0.0



Entry 12:
# BeNi2 PBE relaxed
data_BeNi2
_chemical_formula_sum 'Be2 Ni4'
_space_group_name_H-M_alt 'I m m m'
_space_group_IT_number 71
_space_group_name_Hall '-I 2 2'
_cell_length_a 2.460
_cell_length_b 4.005
_cell_length_c 6.182
_cell_angle_alpha 90.00
_cell_angle_beta 90.00
_cell_angle_gamma 90.00
loop_
_atom_site_label
_atom_site_type_symbol
_atom_site_fract_x
_atom_site_fract_y
_atom_site_fract_z
_atom_site_occupancy
Be1 Be 0.000 0.000 0.000 1
Ni1 Ni 0.000 0.500 0.197 1
# DFT formation energy in eV per atom: -0.116
# Magnetization in μB/f.u.: 0.0